No. 1
First-principles (PBE) data for a relaxed Sr2Si2Au crystal, as listed in the Alexandria database.

a b c (Å): 7.0469 7.0469 4.8893
angles (deg): 90.00 90.00 90.00
Last column: nearest neighbours and their distance in Å.
Sites, in units of the cell vectors:
Sr: 0.1713 0.6713 0.5000  6 Si 3.15-3.25, 1 Sr 3.41
Sr: 0.6713 0.8287 0.5000  6 Si 3.15-3.25, 1 Sr 3.41
Sr: 0.8287 0.3287 0.5000  6 Si 3.15-3.25, 1 Sr 3.41
Sr: 0.3287 0.1713 0.5000  6 Si 3.15-3.25, 1 Sr 3.41
Si: 0.3711 0.8711 0.0000  1 Si 2.57, 2 Au 2.77
Si: 0.8711 0.6289 0.0000  1 Si 2.57, 2 Au 2.77
Si: 0.6289 0.1289 0.0000  1 Si 2.57, 2 Au 2.77
Si: 0.1289 0.3711 0.0000  1 Si 2.57, 2 Au 2.77
Au: 0.0000 0.0000 0.0000  4 Si 2.77
Au: 0.5000 0.5000 0.0000  4 Si 2.77

energy relative to the elements, uncorrected: -0.3791 eV/atom

---

No. 2
First-principles (PBE) data for a relaxed PIrRu2 crystal, as listed in the Alexandria database.

a b c (Å): 4.5560 4.5560 4.5560
angles (deg): 129.76 129.76 73.79
Last column: nearest neighbours and their distance in Å.
Sites, in units of the cell vectors:
P: 0.0000 0.0000 0.0000  8 Ru 2.66, 4 Ir 2.74
Ir: 0.5000 0.5000 0.0000  8 Ru 2.66, 4 P 2.74
Ru: 0.7500 0.2500 0.5000  4 Ir 2.66, 4 P 2.66, 4 Ru 2.74
Ru: 0.2500 0.7500 0.5000  4 P 2.66, 4 Ir 2.66, 4 Ru 2.74

E_form: 2.14 kcal/mol of atoms

---

no.,calculated volume (Å³ per atom),E_tot (eV/atom)
1,24.28,-3.88
2,13.63,-8.11